TaAs2RuSe: PBEsol geometry, SCAN.

```
TaAs2RuSe
1.0
4.566 0.000 0.000
0.000 4.566 0.000
0.000 0.000 4.984
Ta As Ru Se
1 2 1 1
Direct
0.000 0.000 0.000 Ta
0.000 0.500 0.500 As
0.500 0.000 0.500 As
0.500 0.500 0.500 Ru
0.500 0.500 0.000 Se
```

- raw formation energy (eV per atom) = 0.987



Sm11Sn10: PBEsol geometry, SCAN.

```
Sm11Sn10
1.0
-5.843 5.843 8.568
5.843 -5.843 8.568
5.843 5.843 -8.568
Sm Sn
22 20
Direct
0.060 0.311 0.749 Sm
0.102 0.432 0.330 Sm
0.102 0.772 0.670 Sm
0.166 0.166 0.000 Sm
0.228 0.898 0.330 Sm
0.311 0.060 0.749 Sm
0.311 0.562 0.251 Sm
0.325 0.325 0.651 Sm
0.325 0.675 0.000 Sm
0.432 0.102 0.330 Sm
0.438 0.689 0.749 Sm
0.562 0.311 0.251 Sm
0.568 0.898 0.670 Sm
0.675 0.325 0.000 Sm
0.675 0.675 0.349 Sm
0.689 0.438 0.749 Sm
0.689 0.940 0.251 Sm
0.772 0.102 0.670 Sm
0.834 0.834 0.000 Sm
0.898 0.228 0.330 Sm
0.898 0.568 0.670 Sm
0.940 0.689 0.251 Sm
0.030 0.030 0.413 Sn
0.030 0.617 0.000 Sn
0.128 0.128 0.257 Sn
0.128 0.872 0.000 Sn
0.143 0.500 0.643 Sn
0.250 0.750 0.500 Sn
0.383 0.383 0.413 Sn
0.383 0.970 0.000 Sn
0.390 0.390 0.000 Sn
0.500 0.143 0.643 Sn
0.500 0.857 0.357 Sn
0.610 0.610 0.000 Sn
0.617 0.030 0.000 Sn
0.617 0.617 0.587 Sn
0.750 0.250 0.500 Sn
0.857 0.500 0.357 Sn
0.872 0.128 0.000 Sn
0.872 0.872 0.743 Sn
0.970 0.383 0.000 Sn
0.970 0.970 0.587 Sn
```

- energy of formation (eV/atom) = -0.887



Li3NiAsCO7: PBEsol geometry, SCAN.

```
Li3NiAsCO7
1.0
4.965 0.000 0.000
0.000 6.428 0.000
-0.735 0.000 8.397
Li Ni As C O
6 2 2 2 14
Direct
0.215 0.250 0.101 Li
0.251 0.512 0.733 Li
0.251 0.988 0.733 Li
0.749 0.012 0.267 Li
0.749 0.488 0.267 Li
0.785 0.750 0.899 Li
0.207 0.750 0.319 Ni
0.793 0.250 0.681 Ni
0.280 0.250 0.417 As
0.720 0.750 0.583 As
0.315 0.750 0.034 C
0.685 0.250 0.966 C
0.066 0.750 0.068 O
0.163 0.250 0.601 O
0.166 0.052 0.291 O
0.166 0.448 0.291 O
0.372 0.750 0.554 O
0.380 0.750 0.890 O
0.500 0.250 0.847 O
0.500 0.750 0.153 O
0.620 0.250 0.110 O
0.628 0.250 0.446 O
0.834 0.552 0.709 O
0.834 0.948 0.709 O
0.837 0.750 0.399 O
0.934 0.250 0.932 O
```

- raw formation energy (eV per atom) = -1.803



ZnCd2Ag: PBEsol geometry, SCAN.

```
ZnCd2Ag
1.0
-1.669 2.296 4.602
1.669 -2.296 4.602
1.669 2.296 -4.602
Zn Cd Ag
1 2 1
Direct
0.000 0.000 0.000 Zn
0.483 0.483 0.000 Cd
0.753 0.253 0.500 Cd
0.226 0.726 0.500 Ag
```

- energy of formation (eV/atom) = 0.035



BeZn2Ni: PBEsol geometry, SCAN.

```
BeZn2Ni
1.0
2.719 0.000 0.000
0.000 2.719 0.000
0.000 0.000 6.069
Be Zn Ni
1 2 1
Direct
0.000 0.000 0.000 Be
0.000 0.000 0.438 Zn
0.500 0.500 0.746 Zn
0.500 0.500 0.173 Ni
```

- energy of formation (eV/atom) = -0.208



Li2LaMn: PBEsol geometry, SCAN.

```
Li2LaMn
1.0
3.592 0.000 0.000
0.000 3.592 0.000
0.000 0.000 6.280
Li La Mn
2 1 1
Direct
0.000 0.000 0.194 Li
0.000 0.000 0.806 Li
0.500 0.500 0.500 La
0.500 0.500 0.000 Mn
```

- offset from the most stable computed form (meV/atom) = 76
- energy of formation (eV/atom) = 0.212



BaPbO3: PBEsol geometry, SCAN.

```
BaPbO3
1.0
4.600 0.000 0.000
0.000 4.600 0.000
0.000 0.000 4.600
Ba Pb O
1 1 3
Direct
0.000 0.000 0.000 Ba
0.500 0.500 0.500 Pb
0.000 0.000 0.500 O
0.000 0.500 0.000 O
0.500 0.000 0.000 O
```

- raw formation energy (eV per atom) = -0.580



ZrC: PBEsol geometry, SCAN.

```
ZrC
1.0
4.214 0.000 0.000
0.000 4.214 0.000
0.000 0.000 2.996
Zr C
2 2
Direct
0.250 0.250 0.244 Zr
0.750 0.750 0.756 Zr
0.250 0.750 0.000 C
0.750 0.250 0.000 C
```

- offset from the most stable computed form (meV/atom) = 769
- energy of formation (eV/atom) = -0.223



Number 1: DFT total energy -31.39 eV/atom, magnetic moment 2.44 μB/cell. Number 2: DFT total energy -41.27 eV/atom, magnetic moment 0.00 μB/cell. Number 3: DFT total energy -9.28 eV/atom, magnetic moment 4.00 μB/cell. Number 4: DFT total energy -26.39 eV/atom, magnetic moment 0.00 μB/cell. Number 5: DFT total energy -12.10 eV/atom, magnetic moment 0.06 μB/cell. Number 6: DFT total energy -16.32 eV/atom, magnetic moment 3.22 μB/cell. Number 7: DFT total energy -27.38 eV/atom, magnetic moment 0.49 μB/cell. Number 8: DFT total energy -20.62 eV/atom, magnetic moment 0.00 μB/cell.